Entry 1:
The following is a PBE calculation of Be2PBr after structural relaxation, from Alexandria.

Cell: 3.359 6.534 3.142 Å, 90.00 90.00 90.00°
Element x y z (fractional)
P 0.000 0.500 0.500
Br 0.500 0.000 0.500
Be 0.000 0.000 0.000
Be 0.500 0.500 0.000

Results
- Formation energy from raw total energies: 0.554 eV/atom
- Offset from the most stable computed form: 956 meV per atom
- M_tot: 0.00 μB per cell

=====

Entry 2:
The following is a PBE calculation of Ce2PaBeN4 after structural relaxation, from Alexandria.

Cell: 5.819 5.138 5.138 Å, 71.30 55.51 55.51°
Element x y z (fractional)
Ce 0.000 0.500 0.500
Ce 0.500 0.500 0.500
Pa 0.000 0.000 0.000
Be 0.500 0.000 0.000
N 0.131 0.346 0.000
N 0.869 0.000 0.654
N 0.523 0.000 0.346
N 0.477 0.654 0.000

Results
- Formation energy from raw total energies: -0.908 eV/atom
- M_tot: 2.13 μB per cell

=====

Entry 3:
The following is a PBE calculation of DyHoIn3 after structural relaxation, from Alexandria.

Cell: 6.350 7.301 7.301 Å, 120.00 90.00 90.00°
Element x y z (fractional)
Dy 0.000 0.000 0.000
Dy 0.500 0.000 0.000
Ho 0.250 0.334 0.666
Ho 0.750 0.666 0.334
In 0.250 0.797 0.203
In 0.750 0.203 0.797
In 0.250 0.797 0.595
In 0.750 0.203 0.405
In 0.250 0.405 0.203
In 0.750 0.595 0.797

Results
- Energy relative to the elements: -0.107 eV per atom
- M_tot: 0.00 μB per cell

=====

Entry 4:
The following is a PBE calculation of K5LiTl6 after structural relaxation, from Alexandria.

Cell: 9.424 7.167 8.792 Å, 65.95 79.82 64.29°
Element x y z (fractional)
K 0.500 0.210 0.579
K 0.000 0.636 0.728
K 0.000 0.364 0.272
K 0.500 0.500 0.000
K 0.500 0.790 0.421
Tl 0.689 0.949 0.000
Tl 0.818 0.955 0.307
Tl 0.182 0.738 0.307
Tl 0.182 0.045 0.693
Tl 0.818 0.262 0.693
Tl 0.311 0.051 0.000
Li 0.000 0.000 0.000

Results
- Energy relative to the elements: -0.062 eV per atom
- M_tot: 0.00 μB per cell

=====

Entry 5:
The following is a PBE calculation of KZrSeS after structural relaxation, from Alexandria.

Cell: 3.812 3.813 8.062 Å, 89.98 103.68 119.99°
Element x y z (fractional)
K 0.959 0.377 0.351
Zr 0.312 0.554 0.881
Se 0.502 0.149 0.667
S 0.105 0.951 0.071

Results
- Formation energy from raw total energies: -1.407 eV/atom
- M_tot: 0.00 μB per cell

=====

Entry 6:
The following is a PBE calculation of HfRe2Ni after structural relaxation, from Alexandria.

Cell: 3.673 3.673 10.191 Å, 79.62 79.62 90.00°
Element x y z (fractional)
Re 0.609 0.125 0.250
Re 0.141 0.625 0.250
Re 0.375 0.391 0.750
Re 0.875 0.859 0.750
Hf 0.000 0.000 0.000
Hf 0.750 0.250 0.500
Ni 0.500 0.500 0.000
Ni 0.250 0.750 0.500

Results
- Energy relative to the elements: 0.386 eV per atom
- Offset from the most stable computed form: 105 meV per atom
- M_tot: 0.00 μB per cell